Here is crystalline Y3Mg3GaAg2 at its relaxed geometry from OQMD. Energies are from PBE.

Summary:
Uncorrected energy in eV per atom: -3.9707
Total magnetic moment in μB per atom: 0.0014

abc: 7.647 7.647 4.190
angles: 90.00 90.00 120.00
Fractional coordinates of all 9 atoms:
Y 0.409 0.409 0.500
Y 0.591 0.000 0.500
Ga 0.000 0.000 0.500
Ag 0.333 0.667 0.000
Mg 0.756 0.756 0.000
Mg 0.000 0.244 0.000
Mg 0.244 0.000 0.000
Y 0.000 0.591 0.500
Ag 0.667 0.333 0.000